No. 1
A plane-wave DFT calculation with GGA-PBE was carried out for crystalline Li2AgHg at its relaxed geometry.

Its energy is -1.837 eV per atom.

CIF file:
```
data_Li2AgHg
_chemical_formula_sum 'Li6 Ag3 Hg3'
_cell_length_a 3.1022
_cell_length_b 3.1022
_cell_length_c 27.9961
_cell_angle_alpha 90.00
_cell_angle_beta 90.00
_cell_angle_gamma 120.00
_space_group_name_H-M_alt 'R 3 m'
_space_group_IT_number 160
_space_group_name_Hall 'R 3 -2"'
loop_
_atom_site_label
_atom_site_fract_x
_atom_site_fract_y
_atom_site_fract_z
Li1 0.0000 0.0000 0.0000
Li2 0.0000 0.0000 0.2439
Ag1 0.0000 0.0000 0.5028
Hg1 0.0000 0.0000 0.7456
```

No. 2
A plane-wave DFT calculation with GGA-PBE was carried out for crystalline Ag2RuAu2 at its relaxed geometry.

Its energy is -3.786 eV per atom.

CIF file:
```
data_Ag2RuAu2
_chemical_formula_sum 'Ag4 Ru2 Au4'
_cell_length_a 6.958
_cell_length_b 6.958
_cell_length_c 3.908
_cell_angle_alpha 90.00
_cell_angle_beta 90.00
_cell_angle_gamma 90.00
_space_group_name_H-M_alt 'P 4/m b m'
_space_group_IT_number 127
_space_group_name_Hall '-P 4 2ab'
loop_
_atom_site_label
_atom_site_fract_x
_atom_site_fract_y
_atom_site_fract_z
Ag1 0.165 0.335 0.000
Ru1 0.000 0.000 0.500
Au1 0.139 0.639 0.500
```

No. 3
A plane-wave DFT calculation with GGA-PBE was carried out for crystalline TlZnSn2Ge at its relaxed geometry.

Its energy is -2.415 eV per atom.

CIF file:
```
data_TlZnSn2Ge
_chemical_formula_sum 'Tl1 Zn1 Sn2 Ge1'
_cell_length_a 5.729
_cell_length_b 5.729
_cell_length_c 4.968
_cell_angle_alpha 90.00
_cell_angle_beta 90.00
_cell_angle_gamma 90.00
_space_group_name_H-M_alt 'P 4/m m m'
_space_group_IT_number 123
_space_group_name_Hall '-P 4 2'
loop_
_atom_site_label
_atom_site_fract_x
_atom_site_fract_y
_atom_site_fract_z
Tl1 0.000 0.000 0.000
Zn1 0.000 0.000 0.500
Sn1 0.000 0.500 0.000
Ge1 0.500 0.500 0.500
```

No. 4
A plane-wave DFT calculation with GGA-PBE was carried out for crystalline Ir3RhBr at its relaxed geometry.

As for the uncorrected formation energy: 2.112 eV per atom.

CIF file:
```
data_Ir3RhBr
_chemical_formula_sum 'Ir3 Rh1 Br1'
_cell_length_a 4.779
_cell_length_b 4.779
_cell_length_c 4.779
_cell_angle_alpha 90.00
_cell_angle_beta 90.00
_cell_angle_gamma 90.00
_space_group_name_H-M_alt 'P m -3 m'
_space_group_IT_number 221
_space_group_name_Hall '-P 4 2 3'
loop_
_atom_site_label
_atom_site_fract_x
_atom_site_fract_y
_atom_site_fract_z
Ir1 0.000 0.000 0.500
Rh1 0.000 0.000 0.000
Br1 0.500 0.500 0.500
```

No. 5
A plane-wave DFT calculation with GGA-PBE was carried out for crystalline Cu2BiH at its relaxed geometry.

Its energy is -3.112 eV per atom.

CIF file:
```
data_Cu2BiH
_chemical_formula_sum 'Cu8 Bi4 H4'
_cell_length_a 6.304
_cell_length_b 6.304
_cell_length_c 6.304
_cell_angle_alpha 90.00
_cell_angle_beta 90.00
_cell_angle_gamma 90.00
_space_group_name_H-M_alt 'F m -3 m'
_space_group_IT_number 225
_space_group_name_Hall '-F 4 2 3'
loop_
_atom_site_label
_atom_site_fract_x
_atom_site_fract_y
_atom_site_fract_z
Cu1 0.250 0.250 0.250
Bi1 0.000 0.000 0.000
H1 0.000 0.000 0.500
```

No. 6
A plane-wave DFT calculation with GGA-PBE was carried out for crystalline MgBr2Cl at its relaxed geometry.

As for the uncorrected formation energy: -0.420 eV per atom.

CIF file:
```
data_MgBr2Cl
_chemical_formula_sum 'Mg1 Br2 Cl1'
_cell_length_a 4.168
_cell_length_b 4.168
_cell_length_c 5.676
_cell_angle_alpha 90.00
_cell_angle_beta 90.00
_cell_angle_gamma 90.00
_space_group_name_H-M_alt 'P 4/m m m'
_space_group_IT_number 123
_space_group_name_Hall '-P 4 2'
loop_
_atom_site_label
_atom_site_fract_x
_atom_site_fract_y
_atom_site_fract_z
Mg1 0.000 0.000 0.000
Br1 0.000 0.500 0.500
Cl1 0.500 0.500 0.000
```

No. 7
A plane-wave DFT calculation with GGA-PBE was carried out for crystalline Cs2NaYI6 at its relaxed geometry.

As for the uncorrected formation energy: -1.453 eV per atom.

CIF file:
```
data_Cs2NaYI6
_chemical_formula_sum 'Cs8 Na4 Y4 I24'
_cell_length_a 12.396
_cell_length_b 12.396
_cell_length_c 12.396
_cell_angle_alpha 90.00
_cell_angle_beta 90.00
_cell_angle_gamma 90.00
_space_group_name_H-M_alt 'F m -3 m'
_space_group_IT_number 225
_space_group_name_Hall '-F 4 2 3'
loop_
_atom_site_label
_atom_site_fract_x
_atom_site_fract_y
_atom_site_fract_z
Cs1 0.250 0.250 0.250
Na1 0.000 0.000 0.000
Y1 0.000 0.000 0.500
I1 0.000 0.000 0.256
```

No. 8
A plane-wave DFT calculation with GGA-PBE was carried out for crystalline KAlSi2 at its relaxed geometry.

As for the uncorrected formation energy: 0.685 eV per atom.

CIF file:
```
data_KAlSi2
_chemical_formula_sum 'K4 Al4 Si8'
_cell_length_a 6.936
_cell_length_b 6.936
_cell_length_c 6.936
_cell_angle_alpha 90.00
_cell_angle_beta 90.00
_cell_angle_gamma 90.00
_space_group_name_H-M_alt 'F -4 3 m'
_space_group_IT_number 216
_space_group_name_Hall 'F -4 2 3'
loop_
_atom_site_label
_atom_site_fract_x
_atom_site_fract_y
_atom_site_fract_z
K1 0.000 0.000 0.000
Al1 0.250 0.250 0.750
Si1 0.000 0.000 0.500
Si2 0.250 0.250 0.250
```

No. 9
A plane-wave DFT calculation with GGA-PBE was carried out for crystalline Ba2InO3 at its relaxed geometry.

As for the uncorrected formation energy: -1.858 eV per atom.

CIF file:
```
data_Ba2InO3
_chemical_formula_sum 'Ba8 In4 O12'
_cell_length_a 3.603
_cell_length_b 20.318
_cell_length_c 6.690
_cell_angle_alpha 90.00
_cell_angle_beta 90.00
_cell_angle_gamma 90.00
_space_group_name_H-M_alt 'C m c m'
_space_group_IT_number 63
_space_group_name_Hall '-C 2c 2'
loop_
_atom_site_label
_atom_site_fract_x
_atom_site_fract_y
_atom_site_fract_z
Ba1 0.000 0.034 0.250
Ba2 0.000 0.155 0.750
In1 0.000 0.324 0.750
O1 0.000 0.239 0.250
O2 0.000 0.409 0.509
```

No. 10
A plane-wave DFT calculation with GGA-PBE was carried out for crystalline Nd2SmIO8 at its relaxed geometry.

As for the uncorrected formation energy: -2.235 eV per atom.

CIF file:
```
data_Nd2SmIO8
_chemical_formula_sum 'Nd2 Sm1 I1 O8'
_cell_length_a 5.182
_cell_length_b 7.046
_cell_length_c 5.185
_cell_angle_alpha 90.00
_cell_angle_beta 90.63
_cell_angle_gamma 90.00
_space_group_name_H-M_alt 'P 1 2/m 1'
_space_group_IT_number 10
loop_
_space_group_symop_operation_xyz
'x,y,z'
'-x,-y,-z'
'-x,y,-z'
'x,-y,z'
loop_
_atom_site_label
_atom_site_fract_x
_atom_site_fract_y
_atom_site_fract_z
Nd1 0.000 0.247 0.000
Sm1 0.500 0.500 0.500
I1 0.500 0.000 0.500
O1 0.191 0.500 0.192
O2 0.240 0.000 0.241
O3 0.324 0.202 0.677
```

No. 11
A plane-wave DFT calculation with GGA-PBE was carried out for crystalline LiCrBr at its relaxed geometry.

As for the uncorrected formation energy: 0.237 eV per atom.

CIF file:
```
data_LiCrBr
_chemical_formula_sum 'Li4 Cr4 Br4'
_cell_length_a 6.567
_cell_length_b 6.567
_cell_length_c 6.567
_cell_angle_alpha 90.00
_cell_angle_beta 90.00
_cell_angle_gamma 90.00
_space_group_name_H-M_alt 'F -4 3 m'
_space_group_IT_number 216
_space_group_name_Hall 'F -4 2 3'
loop_
_atom_site_label
_atom_site_fract_x
_atom_site_fract_y
_atom_site_fract_z
Li1 0.000 0.000 0.000
Cr1 0.000 0.000 0.500
Br1 0.250 0.250 0.750
```

No. 12
A plane-wave DFT calculation with GGA-PBE was carried out for crystalline Tb2IrPd at its relaxed geometry.

Its energy is -6.055 eV per atom.

CIF file:
```
data_Tb2IrPd
_chemical_formula_sum 'Tb6 Ir3 Pd3'
_cell_length_a 3.8513
_cell_length_b 3.8513
_cell_length_c 25.8975
_cell_angle_alpha 90.00
_cell_angle_beta 90.00
_cell_angle_gamma 120.00
_space_group_name_H-M_alt 'R -3 m'
_space_group_IT_number 166
_space_group_name_Hall '-R 3 2"'
loop_
_atom_site_label
_atom_site_fract_x
_atom_site_fract_y
_atom_site_fract_z
Tb1 0.0000 0.0000 0.1041
Ir1 0.0000 0.0000 0.5000
Pd1 0.0000 0.0000 0.0000
```

No. 13
A plane-wave DFT calculation with GGA-PBE was carried out for crystalline KCuN at its relaxed geometry.

As for the uncorrected formation energy: 0.435 eV per atom.

CIF file:
```
data_KCuN
_chemical_formula_sum 'K2 Cu2 N2'
_cell_length_a 3.599
_cell_length_b 3.599
_cell_length_c 9.505
_cell_angle_alpha 90.00
_cell_angle_beta 90.00
_cell_angle_gamma 90.00
_space_group_name_H-M_alt 'P 4/n m m'
_space_group_IT_number 129
loop_
_space_group_symop_operation_xyz
'x,y,z'
'-x,-y,-z'
'-y+1/2,x,z'
'y+1/2,-x,-z'
'-x+1/2,-y+1/2,z'
'x+1/2,y+1/2,-z'
'y,-x+1/2,z'
'-y,x+1/2,-z'
'x+1/2,-y,-z'
'-x+1/2,y,z'
'-y,-x,-z'
'y,x,z'
'-x,y+1/2,-z'
'x,-y+1/2,z'
'y+1/2,x+1/2,-z'
'-y+1/2,-x+1/2,z'
loop_
_atom_site_label
_atom_site_fract_x
_atom_site_fract_y
_atom_site_fract_z
K1 0.250 0.250 0.227
Cu1 0.250 0.750 0.500
N1 0.250 0.250 0.603
```

No. 14
A plane-wave DFT calculation with GGA-PBE was carried out for crystalline YUIrPd at its relaxed geometry.

Its energy is -8.446 eV per atom.

CIF file:
```
data_YUIrPd
_chemical_formula_sum 'Y4 U4 Ir4 Pd4'
_cell_length_a 6.936
_cell_length_b 6.936
_cell_length_c 6.936
_cell_angle_alpha 90.00
_cell_angle_beta 90.00
_cell_angle_gamma 90.00
_space_group_name_H-M_alt 'F -4 3 m'
_space_group_IT_number 216
_space_group_name_Hall 'F -4 2 3'
loop_
_atom_site_label
_atom_site_fract_x
_atom_site_fract_y
_atom_site_fract_z
Y1 0.000 0.000 0.000
U1 0.000 0.000 0.500
Ir1 0.250 0.250 0.750
Pd1 0.250 0.250 0.250
```

No. 15
A plane-wave DFT calculation with GGA-PBE was carried out for crystalline Ni3IrAu at its relaxed geometry.

Its energy is -4.684 eV per atom.

CIF file:
```
data_Ni3IrAu
_chemical_formula_sum 'Ni3 Ir1 Au1'
_cell_length_a 4.525
_cell_length_b 4.525
_cell_length_c 4.525
_cell_angle_alpha 90.00
_cell_angle_beta 90.00
_cell_angle_gamma 90.00
_space_group_name_H-M_alt 'P m -3 m'
_space_group_IT_number 221
_space_group_name_Hall '-P 4 2 3'
loop_
_atom_site_label
_atom_site_fract_x
_atom_site_fract_y
_atom_site_fract_z
Ni1 0.000 0.000 0.500
Ir1 0.000 0.000 0.000
Au1 0.500 0.500 0.500
```

No. 16
A plane-wave DFT calculation with GGA-PBE was carried out for crystalline AcPr2Mg at its relaxed geometry.

Its energy is -3.803 eV per atom.

CIF file:
```
data_AcPr2Mg
_chemical_formula_sum 'Ac1 Pr2 Mg1'
_cell_length_a 5.148
_cell_length_b 5.148
_cell_length_c 5.277
_cell_angle_alpha 90.00
_cell_angle_beta 90.00
_cell_angle_gamma 90.00
_space_group_name_H-M_alt 'P 4/m m m'
_space_group_IT_number 123
_space_group_name_Hall '-P 4 2'
loop_
_atom_site_label
_atom_site_fract_x
_atom_site_fract_y
_atom_site_fract_z
Ac1 0.000 0.000 0.000
Pr1 0.000 0.500 0.500
Mg1 0.500 0.500 0.000
```

No. 17
A plane-wave DFT calculation with GGA-PBE was carried out for crystalline V4CrAu at its relaxed geometry.

Its energy is -8.033 eV per atom.

CIF file:
```
data_V4CrAu
_chemical_formula_sum 'V8 Cr2 Au2'
_cell_length_a 6.050
_cell_length_b 4.191
_cell_length_c 6.816
_cell_angle_alpha 90.00
_cell_angle_beta 90.00
_cell_angle_gamma 90.00
_space_group_name_H-M_alt 'P m m a'
_space_group_IT_number 51
loop_
_space_group_symop_operation_xyz
'x,y,z'
'-x,-y,-z'
'-x+1/2,-y,z'
'x+1/2,y,-z'
'x+1/2,-y,-z'
'-x+1/2,y,z'
'-x,y,-z'
'x,-y,z'
loop_
_atom_site_label
_atom_site_fract_x
_atom_site_fract_y
_atom_site_fract_z
V1 0.000 0.000 0.000
V2 0.041 0.500 0.301
V3 0.250 0.500 0.992
Cr1 0.250 0.000 0.290
Au1 0.250 0.000 0.671
```

No. 18
A plane-wave DFT calculation with GGA-PBE was carried out for crystalline Pm4Th3ScS8 at its relaxed geometry.

As for the uncorrected formation energy: -1.914 eV per atom.

CIF file:
```
data_Pm4Th3ScS8
_chemical_formula_sum 'Pm12 Th9 Sc3 S24'
_cell_length_a 7.9851
_cell_length_b 7.9851
_cell_length_c 19.6959
_cell_angle_alpha 90.00
_cell_angle_beta 90.00
_cell_angle_gamma 120.00
_space_group_name_H-M_alt 'R -3 m'
_space_group_IT_number 166
_space_group_name_Hall '-R 3 2"'
loop_
_atom_site_label
_atom_site_fract_x
_atom_site_fract_y
_atom_site_fract_z
Pm1 0.0000 0.0000 0.0000
Pm2 0.0000 0.5000 0.0000
Th1 0.0000 0.5000 0.5000
Sc1 0.0000 0.0000 0.5000
S1 0.0000 0.0000 0.2513
S2 0.0132 0.5066 0.2474
```

No. 19
A plane-wave DFT calculation with GGA-PBE was carried out for crystalline CeLuGaNi at its relaxed geometry.

Its energy is -5.203 eV per atom.

CIF file:
```
data_CeLuGaNi
_chemical_formula_sum 'Ce4 Lu4 Ga4 Ni4'
_cell_length_a 6.967
_cell_length_b 6.967
_cell_length_c 6.967
_cell_angle_alpha 90.00
_cell_angle_beta 90.00
_cell_angle_gamma 90.00
_space_group_name_H-M_alt 'F -4 3 m'
_space_group_IT_number 216
_space_group_name_Hall 'F -4 2 3'
loop_
_atom_site_label
_atom_site_fract_x
_atom_site_fract_y
_atom_site_fract_z
Ce1 0.000 0.000 0.000
Lu1 0.000 0.000 0.500
Ga1 0.250 0.250 0.250
Ni1 0.250 0.250 0.750
```

No. 20
A plane-wave DFT calculation with GGA-PBE was carried out for crystalline TaCuTcSb2 at its relaxed geometry.

As for the uncorrected formation energy: 1.352 eV per atom.

CIF file:
```
data_TaCuTcSb2
_chemical_formula_sum 'Ta1 Cu1 Tc1 Sb2'
_cell_length_a 4.850
_cell_length_b 4.850
_cell_length_c 4.727
_cell_angle_alpha 90.00
_cell_angle_beta 90.00
_cell_angle_gamma 90.00
_space_group_name_H-M_alt 'P 4/m m m'
_space_group_IT_number 123
_space_group_name_Hall '-P 4 2'
loop_
_atom_site_label
_atom_site_fract_x
_atom_site_fract_y
_atom_site_fract_z
Ta1 0.000 0.000 0.000
Cu1 0.000 0.000 0.500
Tc1 0.500 0.500 0.000
Sb1 0.000 0.500 0.500
```

| no. | mass density (g/cm³) |
| --- | --- |
| 1 | 6.9 |
| 2 | 12.5 |
| 3 | 5.9 |
| 4 | 11.6 |
| 5 | 8.9 |
| 6 | 3.7 |
| 7 | 4.0 |
| 8 | 2.4 |
| 9 | 5.9 |
| 10 | 6.1 |
| 11 | 3.3 |
| 12 | 9.2 |
| 13 | 3.1 |
| 14 | 12.5 |
| 15 | 10.1 |
| 16 | 6.3 |
| 17 | 8.7 |
| 18 | 7.2 |
| 19 | 8.7 |
| 20 | 8.8 |